Entry 1:
# Pu2GaAu

Pu2GaAu after structural relaxation (PBE-GGA, Alexandria via LeMat-Bulk).

```
data_Pu2GaAu
_chemical_formula_sum 'Pu2 Ga1 Au1'
_cell_length_a 3.6319
_cell_length_b 3.6319
_cell_length_c 5.2362
_cell_angle_alpha 90.00
_cell_angle_beta 90.00
_cell_angle_gamma 90.00
_symmetry_space_group_name_H-M 'P 4/m m m'
_symmetry_Int_Tables_number 123
_symmetry_space_group_name_Hall '-P 4 2'
loop_
_atom_site_label
_atom_site_type_symbol
_atom_site_fract_x
_atom_site_fract_y
_atom_site_fract_z
Pu1 Pu 0.0000 0.5000 0.0000
Ga1 Ga 0.0000 0.0000 0.5000
Au1 Au 0.5000 0.5000 0.5000
```

Computed properties:
The formation enthalpy at 0 K comes out at 0.41 eV per formula unit.

---

Entry 2:
# Hf6Pb2Se

Hf6Pb2Se after structural relaxation (PBE-GGA, Alexandria via LeMat-Bulk).

```
data_Hf6Pb2Se
_chemical_formula_sum 'Hf12 Pb4 Se2'
_cell_length_a 5.8492
_cell_length_b 7.5709
_cell_length_c 10.7845
_cell_angle_alpha 90.00
_cell_angle_beta 120.92
_cell_angle_gamma 90.00
_symmetry_space_group_name_H-M 'P 1 21/c 1'
_symmetry_Int_Tables_number 14
loop_
_symmetry_equiv_pos_as_xyz
'x,y,z'
'-x,-y,-z'
'-x,y+1/2,-z+1/2'
'x,-y+1/2,z+1/2'
loop_
_atom_site_label
_atom_site_type_symbol
_atom_site_fract_x
_atom_site_fract_y
_atom_site_fract_z
Hf1 Hf 0.0733 0.2006 0.4512
Hf2 Hf 0.3109 0.0188 0.2050
Hf3 Hf 0.3188 0.6711 0.4532
Pb1 Pb 0.1643 0.1110 0.7427
Se1 Se 0.5000 0.0000 0.5000
```

Computed properties:
The calculation puts the uncorrected formation energy at -0.164 eV per atom.

---

Entry 3:
# ZrSbP2O

ZrSbP2O after structural relaxation (PBE-GGA, Alexandria via LeMat-Bulk).

```
data_ZrSbP2O
_chemical_formula_sum 'Zr1 Sb1 P2 O1'
_cell_length_a 4.9990
_cell_length_b 4.9990
_cell_length_c 3.9009
_cell_angle_alpha 90.00
_cell_angle_beta 90.00
_cell_angle_gamma 90.00
_symmetry_space_group_name_H-M 'P 4/m m m'
_symmetry_Int_Tables_number 123
_symmetry_space_group_name_Hall '-P 4 2'
loop_
_atom_site_label
_atom_site_type_symbol
_atom_site_fract_x
_atom_site_fract_y
_atom_site_fract_z
Zr1 Zr 0.0000 0.0000 0.0000
Sb1 Sb 0.5000 0.5000 0.5000
P1 P 0.0000 0.5000 0.5000
O1 O 0.5000 0.5000 0.0000
```

Computed properties:
The calculation puts the uncorrected formation energy at 0.044 eV per atom.

---

Entry 4:
# AgRhBr2

AgRhBr2 after structural relaxation (PBE-GGA, Alexandria via LeMat-Bulk).

```
data_AgRhBr2
_chemical_formula_sum 'Ag4 Rh4 Br8'
_cell_length_a 6.9972
_cell_length_b 6.9972
_cell_length_c 6.9972
_cell_angle_alpha 90.00
_cell_angle_beta 90.00
_cell_angle_gamma 90.00
_symmetry_space_group_name_H-M 'F -4 3 m'
_symmetry_Int_Tables_number 216
_symmetry_space_group_name_Hall 'F -4 2 3'
loop_
_atom_site_label
_atom_site_type_symbol
_atom_site_fract_x
_atom_site_fract_y
_atom_site_fract_z
Ag1 Ag 0.0000 0.0000 0.0000
Rh1 Rh 0.2500 0.2500 0.2500
Br1 Br 0.0000 0.0000 0.5000
Br2 Br 0.2500 0.2500 0.7500
```

Computed properties:
The calculation puts the uncorrected formation energy at 0.711 eV per atom.